(1)
Density functional theory data (GGA-PBEsol) for a geometry-optimized Sr3Be4 structure.

Values from the calculation:
- E_tot (eV per atom) = -2.497
- spin magnetization (Bohr magnetons per cell) = 0.0
- formation enthalpy at 0 K (eV per formula unit) = 4.04

a b c (Å): 3.218 3.218 28.718
angles (deg): 90.00 90.00 90.00
Space group I4/mmm (No. 139)
Inequivalent atoms, fractional coordinates:
Sr: 0.000 0.000 0.000 [2 per cell]
Sr: 0.000 0.000 0.312 [4 per cell]
Be: 0.000 0.000 0.107 [4 per cell]
Be: 0.000 0.000 0.417 [4 per cell]

(2)
Density functional theory data (GGA-PBEsol) for a geometry-optimized Sr2Be structure.

Values from the calculation:
- E_tot (eV per atom) = -2.149
- spin magnetization (Bohr magnetons per cell) = 0.0
- formation enthalpy at 0 K (eV per formula unit) = 1.24

a b c (Å): 3.938 14.307 7.484
angles (deg): 90.00 90.00 90.00
Space group Cmc2_1 (No. 36)
Inequivalent atoms, fractional coordinates:
Sr: 0.000 0.022 0.000 [4 per cell]
Sr: 0.000 0.278 0.162 [4 per cell]
Be: 0.000 0.386 0.783 [4 per cell]

(3)
Density functional theory data (GGA-PBEsol) for a geometry-optimized SrBe structure.

Values from the calculation:
- E_tot (eV per atom) = -2.594
- spin magnetization (Bohr magnetons per cell) = 0.0
- formation enthalpy at 0 K (eV per formula unit) = 0.65

a b c (Å): 5.297 9.153 4.236
angles (deg): 90.00 90.00 90.00
Space group Cmcm (No. 63)
Inequivalent atoms, fractional coordinates:
Sr: 0.000 0.167 0.250 [4 per cell]
Be: 0.000 0.499 0.750 [4 per cell]

(4)
Density functional theory data (GGA-PBEsol) for a geometry-optimized Sr2TaBe structure.

Values from the calculation:
- E_tot (eV per atom) = -3.870
- spin magnetization (Bohr magnetons per cell) = 0.7
- formation enthalpy at 0 K (eV per formula unit) = 4.75

a b c (Å): 4.426 4.426 4.904
angles (deg): 90.00 90.00 90.00
Space group P4/mmm (No. 123)
Inequivalent atoms, fractional coordinates:
Sr: 0.000 0.500 0.000 [2 per cell]
Ta: 0.000 0.000 0.500 [1 per cell]
Be: 0.500 0.500 0.500 [1 per cell]

(5)
Density functional theory data (GGA-PBEsol) for a geometry-optimized SrTa2Be structure.

Values from the calculation:
- E_tot (eV per atom) = -6.715
- spin magnetization (Bohr magnetons per cell) = 0.0
- formation enthalpy at 0 K (eV per formula unit) = 4.08

a b c (Å): 3.019 5.422 9.845
angles (deg): 90.00 90.00 90.00
Space group Imm2 (No. 44)
Inequivalent atoms, fractional coordinates:
Sr: 0.000 0.000 0.000 [2 per cell]
Ta: 0.000 0.000 0.473 [2 per cell]
Ta: 0.000 0.500 0.202 [2 per cell]
Be: 0.000 0.500 0.766 [2 per cell]

(6)
Density functional theory data (GGA-PBEsol) for a geometry-optimized SrTa2Be structure.

Values from the calculation:
- E_tot (eV per atom) = -7.096
- spin magnetization (Bohr magnetons per cell) = 0.0
- formation enthalpy at 0 K (eV per formula unit) = 2.56

a b c (Å): 2.872 4.946 10.762
angles (deg): 90.00 90.00 90.00
Space group Immm (No. 71)
Inequivalent atoms, fractional coordinates:
Sr: 0.000 0.000 0.000 [2 per cell]
Ta: 0.000 0.500 0.210 [4 per cell]
Be: 0.000 0.000 0.500 [2 per cell]

(7)
Density functional theory data (GGA-PBEsol) for a geometry-optimized SrTa2Be structure.

Values from the calculation:
- E_tot (eV per atom) = -7.012
- spin magnetization (Bohr magnetons per cell) = 0.0
- formation enthalpy at 0 K (eV per formula unit) = 2.89

a b c (Å): 9.591 2.955 6.193
angles (deg): 90.00 100.15 90.00
Space group Cm (No. 8)
Inequivalent atoms, fractional coordinates:
Sr: 0.000 0.000 0.000 [2 per cell]
Ta: 0.201 0.000 0.591 [2 per cell]
Ta: 0.455 0.000 0.501 [2 per cell]
Be: 0.264 0.500 0.286 [2 per cell]

(8)
Density functional theory data (GGA-PBEsol) for a geometry-optimized SrBeTc4 structure.

Values from the calculation:
- E_tot (eV per atom) = -7.751
- spin magnetization (Bohr magnetons per cell) = 0.0
- formation enthalpy at 0 K (eV per formula unit) = 4.40

a b c (Å): 7.371 7.371 7.371
angles (deg): 90.00 90.00 90.00
Space group F-43m (No. 216)
Inequivalent atoms, fractional coordinates:
Sr: 0.000 0.000 0.000 [4 per cell]
Be: 0.250 0.250 0.250 [4 per cell]
Tc: 0.124 0.124 0.624 [16 per cell]

(9)
Density functional theory data (GGA-PBEsol) for a geometry-optimized Sr2BeTc structure.

Values from the calculation:
- E_tot (eV per atom) = -4.200
- spin magnetization (Bohr magnetons per cell) = 0.6
- formation enthalpy at 0 K (eV per formula unit) = 2.15

a b c (Å): 4.024 4.560 11.173
angles (deg): 90.00 90.00 90.00
Space group Amm2 (No. 38)
Inequivalent atoms, fractional coordinates:
Sr: 0.000 0.000 0.000 [2 per cell]
Sr: 0.500 0.000 0.282 [2 per cell]
Be: 0.500 0.000 0.598 [2 per cell]
Tc: 0.000 0.000 0.684 [2 per cell]

(10)
Density functional theory data (GGA-PBEsol) for a geometry-optimized SrBeTc2Te structure.

Values from the calculation:
- E_tot (eV per atom) = -4.719
- spin magnetization (Bohr magnetons per cell) = 1.9
- E_form (uncorrected) (meV per atom) = 1660.7

a b c (Å): 4.854 4.854 5.775
angles (deg): 90.00 90.00 90.00
Space group P4/mmm (No. 123)
Inequivalent atoms, fractional coordinates:
Sr: 0.000 0.000 0.000 [1 per cell]
Be: 0.500 0.500 0.000 [1 per cell]
Tc: 0.000 0.500 0.500 [2 per cell]
Te: 0.000 0.000 0.500 [1 per cell]

(11)
Density functional theory data (GGA-PBEsol) for a geometry-optimized SrBeTe2 structure.

Values from the calculation:
- E_tot (eV per atom) = -3.804
- spin magnetization (Bohr magnetons per cell) = 0.0
- E_form (uncorrected) (meV per atom) = -581.0

a b c (Å): 4.240 3.766 7.276
angles (deg): 90.00 100.28 90.00
Space group P2/m (No. 10)
Inequivalent atoms, fractional coordinates:
Sr: 0.000 0.000 0.000 [1 per cell]
Be: 0.500 0.000 0.500 [1 per cell]
Te: 0.423 0.500 0.727 [2 per cell]

(12)
Density functional theory data (GGA-PBEsol) for a geometry-optimized SrBeTe2 structure.

Values from the calculation:
- E_tot (eV per atom) = -4.042
- spin magnetization (Bohr magnetons per cell) = 0.0
- E_form (uncorrected) (meV per atom) = -819.0

a b c (Å): 4.226 4.683 12.254
angles (deg): 90.00 90.00 90.00
Space group Amm2 (No. 38)
Inequivalent atoms, fractional coordinates:
Sr: 0.000 0.000 0.000 [2 per cell]
Be: 0.500 0.000 0.625 [2 per cell]
Te: 0.000 0.000 0.720 [2 per cell]
Te: 0.500 0.000 0.433 [2 per cell]